[1]
Material: CaCd4Hg8
Method: DFT, PBE
State: optimized geometry

a b c (Å): 6.7297 6.7297 27.4869
angles (deg): 90.00 90.00 120.00
Space group R-3m (No. 166, hexagonal axes)
Inequivalent atoms, fractional coordinates:
Ca1 0.0000 0.0000 0.0000 x3
Cd1 0.0000 0.0000 0.5000 x3
Cd2 0.0000 0.5000 0.0000 x9
Hg1 0.0000 0.0000 0.2021 x6
Hg2 0.0186 0.5093 0.7592 x18

Calculated values
M_tot   0.000 μB/atom
DFT formation energy   -0.05 eV per atom
ΔE to the lowest computed polymorph   61.4 kJ/mol of formula units



[2]
Material: Ca4Cd3Hg2
Method: DFT, PBE
State: optimized geometry

a b c (Å): 9.1603 5.2894 10.1043
angles (deg): 90.00 90.01 90.00
Space group C2/m (No. 12)
Inequivalent atoms, fractional coordinates:
Ca1 0.9998 0.0000 0.1714 x4
Ca2 0.1665 0.5000 0.3845 x4
Cd1 0.0000 0.0000 0.5000 x2
Cd2 0.1666 0.5000 0.0034 x4
Hg1 0.1670 0.5000 0.6974 x4

Calculated values
M_tot   0.000 μB/atom
DFT formation energy   -0.40 eV per atom



[3]
Material: Ca4CdHg5
Method: DFT, PBE
State: optimized geometry

a b c (Å): 3.7587 3.7587 18.6545
angles (deg): 90.00 90.00 90.00
Space group P4/mmm (No. 123)
Inequivalent atoms, fractional coordinates:
Ca1 0.0000 0.0000 0.1030 x2
Ca2 0.0000 0.0000 0.3089 x2
Cd1 0.0000 0.0000 0.5000 x1
Hg1 0.5000 0.5000 0.0000 x1
Hg2 0.5000 0.5000 0.2053 x2
Hg3 0.5000 0.5000 0.4075 x2

Calculated values
M_tot   0.000 μB/atom
DFT formation energy   -0.46 eV per atom



[4]
Material: Ca6CdHg5
Method: DFT, PBE
State: optimized geometry

a b c (Å): 5.3923 7.5415 8.5098
angles (deg): 90.00 108.30 90.00
Space group P2/m (No. 10)
Inequivalent atoms, fractional coordinates:
Ca1 0.0000 0.2461 0.0000 x2
Ca2 0.3322 0.2494 0.6633 x4
Cd1 0.5000 0.5000 0.0000 x1
Hg1 0.1618 0.5000 0.3250 x2
Hg2 0.1655 0.0000 0.3332 x2
Hg3 0.5000 0.0000 0.0000 x1

Calculated values
M_tot   0.000 μB/atom
DFT formation energy   -0.52 eV per atom



[5]
Material: CaCd4Hg3
Method: DFT, PBE
State: optimized geometry

a b c (Å): 19.3988 4.3882 4.6858
angles (deg): 90.00 103.57 90.00
Space group C2/m (No. 12)
Inequivalent atoms, fractional coordinates:
Ca1 0.0000 0.0000 0.0000 x2
Cd1 0.1304 0.0000 0.6283 x4
Cd2 0.2477 0.0000 0.2464 x4
Hg1 0.0000 0.5000 0.5000 x2
Hg2 0.1281 0.5000 0.1255 x4

Calculated values
M_tot   0.000 μB/atom
DFT formation energy   -0.18 eV per atom



[6]
Material: Ca3CdHg5
Method: DFT, PBE
State: optimized geometry

a b c (Å): 9.2353 9.2353 6.3318
angles (deg): 90.00 90.00 120.00
Space group P6_3/mcm (No. 193)
Inequivalent atoms, fractional coordinates:
Ca1 0.0000 0.3633 0.2500 x6
Cd1 0.0000 0.0000 0.0000 x2
Hg1 0.0000 0.2978 0.7500 x6
Hg2 0.3333 0.6667 0.0000 x4

Calculated values
M_tot   0.000 μB/atom
DFT formation energy   -0.44 eV per atom
ΔE to the lowest computed polymorph   0.0 kJ/mol of formula units



Among the records above, which one has the lowest DFT formation energy? Ca6CdHg5



Number 4 is which compound? Ca6CdHg5



Please write out number 6 again, unchanged.
Material: Ca3CdHg5
Method: DFT, PBE
State: optimized geometry

a b c (Å): 9.2353 9.2353 6.3318
angles (deg): 90.00 90.00 120.00
Space group P6_3/mcm (No. 193)
Inequivalent atoms, fractional coordinates:
Ca1 0.0000 0.3633 0.2500 x6
Cd1 0.0000 0.0000 0.0000 x2
Hg1 0.0000 0.2978 0.7500 x6
Hg2 0.3333 0.6667 0.0000 x4

Calculated values
M_tot   0.000 μB/atom
DFT formation energy   -0.44 eV per atom
ΔE to the lowest computed polymorph   0.0 kJ/mol of formula units



Which formula does entry 6 have? Ca3CdHg5